Compound: PaMn2Co9
Source: Alexandria
Functional: PBE
Structure: relaxed

As for the formation energy: -0.054 eV/atom. Its crystal system is trigonal. The density of states at the Fermi level is 1.25 states/eV per atom. As for the calculated total energy: -92.43 eV per cell.

Cell lengths 4.771, 4.771, 8.324 Å; angles 73.35, 73.35, 60.00 degrees
Atoms (fractional coordinates):
Pa: 0.000 0.000 0.000
Mn: 0.855 0.855 0.435
Mn: 0.145 0.145 0.565
Co: 0.664 0.664 0.008
Co: 0.336 0.336 0.992
Co: 0.500 0.500 0.500
Co: 0.409 0.409 0.261
Co: 0.921 0.409 0.261
Co: 0.409 0.921 0.261
Co: 0.591 0.591 0.739
Co: 0.591 0.079 0.739
Co: 0.079 0.591 0.739